Entry w
Ho2Cd3Au2 | PBE | optimized geometry

Calculated values
Calculated density   10.814 g/cm³
Total magnetization   0.000 μB per formula unit
Calculated volume   23.28 Å³ per atom
SG   C2/m

a = 10.544 Å, b = 3.954 Å, c = 7.844 Å
α = 90.00°, β = 94.93°, γ = 90.00°
Atoms (fractional coordinates):
Ho1 0.119 0.000 0.344
Ho2 0.381 0.500 0.656
Ho3 0.619 0.500 0.344
Ho4 0.881 0.000 0.656
Cd1 0.000 0.500 0.000
Cd2 0.193 0.000 0.875
Cd3 0.307 0.500 0.125
Cd4 0.500 0.000 0.000
Cd5 0.693 0.500 0.875
Cd6 0.807 0.000 0.125
Au1 0.101 0.500 0.631
Au2 0.399 0.000 0.369
Au3 0.601 0.000 0.631
Au4 0.899 0.500 0.369



Entry x
Ho2Cd3Au2 | PBE | optimized geometry

Calculated values
Calculated density   11.031 g/cm³
Total magnetization   0.000 μB per formula unit
Calculated volume   22.82 Å³ per atom
SG   C2/m

a = 9.886 Å, b = 4.615 Å, c = 7.387 Å
α = 90.00°, β = 108.60°, γ = 90.00°
Atoms (fractional coordinates):
Ho1 0.135 0.000 0.284
Ho2 0.365 0.500 0.716
Ho3 0.635 0.500 0.284
Ho4 0.865 0.000 0.716
Cd1 0.000 0.500 0.500
Cd2 0.120 0.500 0.931
Cd3 0.380 0.000 0.069
Cd4 0.500 0.000 0.500
Cd5 0.620 0.000 0.931
Cd6 0.880 0.500 0.069
Au1 0.171 0.000 0.699
Au2 0.329 0.500 0.301
Au3 0.671 0.500 0.699
Au4 0.829 0.000 0.301



Relative energies, in eV/atom, with the most stable structure set to zero: entry w 0.030; entry x 0.000.